PmSnTe2: relaxed, PBE.

The structure in extended XYZ format:
```
4
Lattice="-0.8840 3.5782 2.2558 -0.5177 -0.2196 4.2846 9.1858 2.7174 3.4284" Properties=species:S:1:pos:R:3 pbc="T T T"
Te 6.1930 2.2220 3.0413
Pm 3.8921 3.0380 4.9843
Te 1.5912 3.8540 6.9273
Sn 0.0000 0.0000 0.0000
```

- space group = R-3m
- crystal system = trigonal
- uncorrected formation energy (eV/atom) = -0.6750
- spin magnetization (μB/cell) = 0.000
- calculated volume (Å³ per atom) = 39.88


CsScI3: relaxed, PBE.

The structure in extended XYZ format:
```
10
Lattice="-8.2176 -1.5314 1.8553 2.6938 -0.3551 -8.1200 1.3766 -6.4900 0.7405" Properties=species:S:1:pos:R:3 pbc="T T T"
Cs 0.0892 -5.6147 -4.2395
I -4.0215 -6.3818 -3.3214
Cs -4.2363 -2.7618 -1.2846
Sc 0.6883 -3.2450 0.3702
I -5.3738 -6.2036 0.7547
I -2.8985 -2.9416 -5.3476
Sc 0.0000 0.0000 0.0000
I 1.2266 -2.1728 -6.2789
I -0.1256 -1.9946 -2.2028
I -1.2487 -5.4349 -0.1766
```

- space group = P6_3/mmc
- crystal system = hexagonal
- uncorrected formation energy (eV/atom) = -1.3088
- excess energy over the best structure of this formula in the dataset (eV/atom) = 0.000
- spin magnetization (μB/cell) = 0.644
- calculated volume (Å³ per atom) = 42.39


LiPaGa2: relaxed, PBE.

The structure in extended XYZ format:
```
4
Lattice="3.1441 0.0000 0.0000 0.0000 3.1441 0.0000 0.0000 0.0000 7.3287" Properties=species:S:1:pos:R:3 pbc="T T T"
Pa 1.5721 1.5721 3.6644
Li 1.5721 1.5721 0.0000
Ga 0.0000 0.0000 5.8387
Ga 0.0000 0.0000 1.4900
```

- space group = P4/mmm
- crystal system = tetragonal
- excess energy over the best structure of this formula in the dataset (eV/atom) = 0.000
- spin magnetization (μB/cell) = 0.001
- calculated volume (Å³ per atom) = 18.11
- DFT formation energy (eV per atom) = -0.281


DyHoTmCd: relaxed, PBE.

The structure in extended XYZ format:
```
4
Lattice="3.5540 0.0000 0.0000 0.0000 3.5540 0.0000 0.0000 0.0000 9.0272" Properties=species:S:1:pos:R:3 pbc="T T T"
Ho 1.7770 1.7770 3.0752
Dy 1.7770 1.7770 7.2403
Cd 0.0000 0.0000 5.1457
Tm 0.0000 0.0000 0.6496
```

- space group = P4mm
- crystal system = tetragonal
- excess energy over the best structure of this formula in the dataset (eV/atom) = 0.000
- spin magnetization (μB/cell) = 0.000
- calculated volume (Å³ per atom) = 28.50
- DFT formation energy (eV per atom) = -0.140


Tb4Pr11Y9: relaxed, PBE.

The structure in extended XYZ format:
```
24
Lattice="3.7034 0.0000 0.0000 0.0000 14.3122 -6.1096 0.0000 0.0063 15.5617" Properties=species:S:1:pos:R:3 pbc="T T T"
Y 1.8517 3.0566 -0.2489
Pr 0.0000 4.1921 2.7673
Y 1.8517 11.2619 9.7010
Tb 1.8517 10.8554 4.0071
Y 1.8517 13.3462 6.5435
Y 1.8517 5.2860 10.7370
Y 1.8517 2.3680 8.8108
Tb 1.8517 7.9507 8.4073
Tb 1.8517 6.3678 1.0447
Pr 0.0000 9.0409 1.8756
Y 1.8517 0.9723 2.9085
Pr 0.0000 10.1264 6.6847
Y 1.8517 7.1593 4.7260
Pr 0.0000 0.6320 6.0503
Pr 0.0000 5.8119 -1.7966
Pr 0.0000 2.2963 12.0928
Pr 0.0000 13.6866 3.4017
Pr 0.0000 0.0000 0.0000
Pr 0.0000 12.0222 -2.6407
Pr 0.0000 8.5066 11.2486
Tb 1.8517 3.4631 5.4449
Pr 0.0000 5.2776 7.5764
Y 1.8517 9.0325 -1.2850
Y 1.8517 11.9505 0.6413
```

- space group = Cmmm
- crystal system = orthorhombic
- spin magnetization (μB/cell) = 0.000
- calculated volume (Å³ per atom) = 34.37
- DFT formation energy (eV per atom) = 0.049


Ca2PtRhPb: relaxed, PBE.

The structure in extended XYZ format:
```
5
Lattice="5.8435 0.0000 0.0000 0.0000 4.9773 0.0000 0.0000 0.0000 5.8435" Properties=species:S:1:pos:R:3 pbc="T T T"
Ca 0.0000 0.0000 2.9217
Pb 0.0000 0.0000 0.0000
Rh 2.9217 2.4886 2.9217
Pt 0.0000 2.4886 0.0000
Ca 2.9217 0.0000 0.0000
```

- space group = P4/mmm
- crystal system = tetragonal
- spin magnetization (μB/cell) = 1.405
- calculated volume (Å³ per atom) = 33.99
- DFT formation energy (eV per atom) = 0.688


What is the formula in the fifth record?
Tb4Pr11Y9